Entry 1:
A plane-wave DFT calculation with PBE was carried out for a relaxed K3AgPb2Cl9 crystal.

Cell: 7.6645 7.6645 9.7027 Å, 90.00 90.00 120.00°
Fractional positions:
K (0.0000, 0.0000, 0.0000)
K (0.3333, 0.6667, 0.6121)
K (0.6667, 0.3333, 0.3879)
Ag (0.0000, 0.0000, 0.5000)
Pb (0.3333, 0.6667, 0.1768)
Pb (0.6667, 0.3333, 0.8232)
Cl (0.0000, 0.5000, 0.0000)
Cl (0.1640, 0.3281, 0.3447)
Cl (0.1640, 0.8360, 0.3447)
Cl (0.3281, 0.1640, 0.6553)
Cl (0.5000, 0.0000, 0.0000)
Cl (0.5000, 0.5000, 0.0000)
Cl (0.6719, 0.8360, 0.3447)
Cl (0.8360, 0.1640, 0.6553)
Cl (0.8360, 0.6719, 0.6553)

Summary:
- space-group type = P-3m1
- final energy (eV per formula unit) = -49.40
- energy relative to the elements, uncorrected (eV per formula unit) = -19.216


Entry 2:
A plane-wave DFT calculation with PBE was carried out for a relaxed K2Ag2PbCl6 crystal.

Cell: 7.7857 7.7857 7.5909 Å, 114.26 114.26 60.00°
Fractional positions:
K (0.2345, 0.2345, 0.1686)
K (0.7655, 0.7655, 0.8314)
Ag (0.4386, 0.4386, 0.7794)
Ag (0.5614, 0.5614, 0.2206)
Pb (0.0000, 0.0000, 0.5000)
Cl (0.1786, 0.6758, 0.1777)
Cl (0.2310, 0.2310, 0.5750)
Cl (0.3242, 0.8214, 0.8223)
Cl (0.6758, 0.1786, 0.1777)
Cl (0.7690, 0.7690, 0.4250)
Cl (0.8214, 0.3242, 0.8223)

Summary:
- space-group type = C2/m
- final energy (eV per formula unit) = -35.61
- energy relative to the elements, uncorrected (eV per formula unit) = -12.928


Entry 3:
A plane-wave DFT calculation with PBE was carried out for a relaxed KAg2PdCl8 crystal.

Cell: 6.3346 7.7068 8.0562 Å, 98.58 108.97 101.17°
Fractional positions:
K (0.0000, 0.0000, 0.0000)
Ag (0.3229, 0.3520, 0.7759)
Ag (0.6771, 0.6480, 0.2241)
Pd (0.5000, 0.0000, 0.5000)
Cl (0.0873, 0.8192, 0.3502)
Cl (0.2745, 0.4377, 0.0636)
Cl (0.3782, 0.2686, 0.4860)
Cl (0.4727, 0.0038, 0.7846)
Cl (0.5273, 0.9962, 0.2154)
Cl (0.6218, 0.7314, 0.5140)
Cl (0.7255, 0.5623, 0.9364)
Cl (0.9127, 0.1808, 0.6498)

Summary:
- space-group type = P-1
- final energy (eV per formula unit) = -34.43
- energy relative to the elements, uncorrected (eV per formula unit) = -7.661


Entry 4:
A plane-wave DFT calculation with PBE was carried out for a relaxed KAg2PdCl6 crystal.

Cell: 6.7070 7.0079 7.0771 Å, 90.67 114.46 115.40°
Fractional positions:
K (0.0000, 0.0000, 0.0000)
Ag (0.5498, 0.2508, 0.8261)
Ag (0.5668, 0.8240, 0.3838)
Pd (0.9784, 0.4909, 0.4635)
Cl (0.1244, 0.4561, 0.2208)
Cl (0.1281, 0.2683, 0.6645)
Cl (0.4261, 0.8528, 0.6742)
Cl (0.5646, 0.1430, 0.1983)
Cl (0.8019, 0.6938, 0.2575)
Cl (0.8266, 0.5430, 0.6982)

Summary:
- space-group type = P1
- final energy (eV per formula unit) = -30.16
- energy relative to the elements, uncorrected (eV per formula unit) = -7.084


Entry 5:
A plane-wave DFT calculation with PBE was carried out for a relaxed K3AgPd2Cl9 crystal.

Cell: 7.1071 7.1071 8.7089 Å, 90.00 90.00 120.00°
Fractional positions:
K (0.0000, 0.0000, 0.0000)
K (0.3333, 0.6667, 0.6630)
K (0.6667, 0.3333, 0.3370)
Ag (0.0000, 0.0000, 0.5000)
Pd (0.3333, 0.6667, 0.1612)
Pd (0.6667, 0.3333, 0.8388)
Cl (0.0000, 0.5000, 0.0000)
Cl (0.1710, 0.3420, 0.3246)
Cl (0.1710, 0.8290, 0.3246)
Cl (0.3420, 0.1710, 0.6754)
Cl (0.5000, 0.0000, 0.0000)
Cl (0.5000, 0.5000, 0.0000)
Cl (0.6580, 0.8290, 0.3246)
Cl (0.8290, 0.1710, 0.6754)
Cl (0.8290, 0.6580, 0.6754)

Summary:
- space-group type = P-3m1
- final energy (eV per formula unit) = -49.05
- energy relative to the elements, uncorrected (eV per formula unit) = -15.900


Entry 6:
A plane-wave DFT calculation with PBE was carried out for a relaxed K2Ag2PdCl6 crystal.

Cell: 7.2999 7.2999 6.6696 Å, 99.42 99.42 119.47°
Fractional positions:
K (0.1612, 0.8388, 0.0000)
K (0.8388, 0.1612, 0.0000)
Ag (0.3073, 0.6927, 0.5000)
Ag (0.6927, 0.3073, 0.5000)
Pd (0.5000, 0.5000, 0.0000)
Cl (0.1265, 0.4353, 0.7274)
Cl (0.3135, 0.3135, 0.2217)
Cl (0.4353, 0.1265, 0.7274)
Cl (0.5647, 0.8735, 0.2726)
Cl (0.6865, 0.6865, 0.7783)
Cl (0.8735, 0.5647, 0.2726)

Summary:
- space-group type = C2/m
- final energy (eV per formula unit) = -34.24
- energy relative to the elements, uncorrected (eV per formula unit) = -10.070


Entry 7:
A plane-wave DFT calculation with PBE was carried out for a relaxed K3PmAg2Cl9 crystal.

Cell: 7.4671 7.4671 9.4086 Å, 90.00 90.00 120.00°
Fractional positions:
K (0.0000, 0.0000, 0.0000)
K (0.3333, 0.6667, 0.7312)
K (0.6667, 0.3333, 0.2688)
Pm (0.0000, 0.0000, 0.5000)
Ag (0.3333, 0.6667, 0.1566)
Ag (0.6667, 0.3333, 0.8434)
Cl (0.0000, 0.5000, 0.0000)
Cl (0.1663, 0.3325, 0.3270)
Cl (0.1663, 0.8337, 0.3270)
Cl (0.3325, 0.1663, 0.6730)
Cl (0.5000, 0.0000, 0.0000)
Cl (0.5000, 0.5000, 0.0000)
Cl (0.6675, 0.8337, 0.3270)
Cl (0.8337, 0.1663, 0.6730)
Cl (0.8337, 0.6675, 0.6730)

Summary:
- space-group type = P-3m1
- final energy (eV per formula unit) = -52.93
- energy relative to the elements, uncorrected (eV per formula unit) = -22.567


Entry 8:
A plane-wave DFT calculation with PBE was carried out for a relaxed KPm2AgCl8 crystal.

Cell: 6.6866 8.5049 6.8705 Å, 90.00 95.05 90.00°
Fractional positions:
K (0.0000, 0.0000, 0.0000)
Pm (0.5000, 0.2566, 0.5000)
Pm (0.5000, 0.7434, 0.5000)
Ag (0.0000, 0.5000, 0.0000)
Cl (0.2376, 0.2757, 0.1816)
Cl (0.2376, 0.7243, 0.1816)
Cl (0.2909, 0.5000, 0.6542)
Cl (0.2981, 0.0000, 0.6457)
Cl (0.7019, 0.0000, 0.3543)
Cl (0.7091, 0.5000, 0.3458)
Cl (0.7624, 0.2757, 0.8184)
Cl (0.7624, 0.7243, 0.8184)

Summary:
- space-group type = P2/m
- final energy (eV per formula unit) = -51.00
- energy relative to the elements, uncorrected (eV per formula unit) = -22.780


Entry 9:
A plane-wave DFT calculation with PBE was carried out for a relaxed KPmAgCl5 crystal.

Cell: 7.6867 7.6867 10.2181 Å, 102.23 102.23 109.76°
Fractional positions:
K (0.1480, 0.8520, 0.7500)
K (0.8520, 0.1480, 0.2500)
Pm (0.5000, 0.5000, 0.0000)
Pm (0.5000, 0.5000, 0.5000)
Ag (0.1857, 0.8143, 0.2500)
Ag (0.8143, 0.1857, 0.7500)
Cl (0.1287, 0.2421, 0.9424)
Cl (0.1862, 0.5722, 0.3913)
Cl (0.2421, 0.1287, 0.4424)
Cl (0.4154, 0.5846, 0.7500)
Cl (0.4278, 0.8138, 0.1087)
Cl (0.5722, 0.1862, 0.8913)
Cl (0.5846, 0.4154, 0.2500)
Cl (0.7579, 0.8713, 0.5576)
Cl (0.8138, 0.4278, 0.6087)
Cl (0.8713, 0.7579, 0.0576)

Summary:
- space-group type = C2/c
- final energy (eV per formula unit) = -31.91
- energy relative to the elements, uncorrected (eV per formula unit) = -13.978


Entry 10:
A plane-wave DFT calculation with PBE was carried out for a relaxed KPmAg2Cl8 crystal.

Cell: 8.6436 8.6436 8.6436 Å, 133.43 133.43 67.98°
Fractional positions:
K (0.0000, 0.0000, 0.0000)
Pm (0.2500, 0.7500, 0.5000)
Ag (0.5000, 0.5000, 0.0000)
Ag (0.7500, 0.2500, 0.5000)
Cl (0.2730, 0.7052, 0.1526)
Cl (0.2948, 0.4474, 0.5678)
Cl (0.3979, 0.0155, 0.0380)
Cl (0.5526, 0.1204, 0.8474)
Cl (0.6400, 0.6021, 0.6176)
Cl (0.8796, 0.7270, 0.4322)
Cl (0.9775, 0.3600, 0.9620)
Cl (0.9845, 0.0225, 0.3824)

Summary:
- space-group type = I-4
- final energy (eV per formula unit) = -40.46
- energy relative to the elements, uncorrected (eV per formula unit) = -14.133


Entry 11:
A plane-wave DFT calculation with PBE was carried out for a relaxed K2PmAgCl6 crystal.

Cell: 7.3694 7.7723 12.6429 Å, 90.00 124.74 90.00°
Fractional positions:
K (0.2243, 0.0734, 0.2481)
K (0.2243, 0.4266, 0.7481)
K (0.7757, 0.5734, 0.2519)
K (0.7757, 0.9266, 0.7519)
Pm (0.5000, 0.0000, 0.0000)
Pm (0.5000, 0.5000, 0.5000)
Ag (0.0000, 0.0000, 0.5000)
Ag (0.0000, 0.5000, 0.0000)
Cl (0.1483, 0.1918, 0.9474)
Cl (0.1483, 0.3082, 0.4474)
Cl (0.2583, 0.7068, 0.9465)
Cl (0.2583, 0.7932, 0.4465)
Cl (0.3538, 0.0314, 0.7482)
Cl (0.3538, 0.4686, 0.2482)
Cl (0.6462, 0.5314, 0.7518)
Cl (0.6462, 0.9686, 0.2518)
Cl (0.7417, 0.2068, 0.5535)
Cl (0.7417, 0.2932, 0.0535)
Cl (0.8517, 0.6918, 0.5526)
Cl (0.8517, 0.8082, 0.0526)

Summary:
- space-group type = P2_1/c
- final energy (eV per formula unit) = -38.93
- energy relative to the elements, uncorrected (eV per formula unit) = -18.050


Entry 12:
A plane-wave DFT calculation with PBE was carried out for a relaxed KPmAg2Cl6 crystal.

Cell: 7.1616 7.1670 7.7038 Å, 90.04 117.67 119.96°
Fractional positions:
K (0.0000, 0.0000, 0.0000)
Pm (0.9722, 0.4861, 0.4578)
Ag (0.5785, 0.2893, 0.8675)
Ag (0.6004, 0.8008, 0.4005)
Cl (0.1011, 0.4469, 0.1819)
Cl (0.1053, 0.2181, 0.6626)
Cl (0.4449, 0.8872, 0.6625)
Cl (0.5285, 0.0821, 0.1821)
Cl (0.7357, 0.6544, 0.1824)
Cl (0.7760, 0.5579, 0.6630)

Summary:
- space-group type = P1
- final energy (eV per formula unit) = -37.40
- energy relative to the elements, uncorrected (eV per formula unit) = -14.765


Here are the calculated D(E_F) numbers, same order: 3.95; 0.00; 6.14; 0.66; 4.26; 4.86; 7.22; 0.00; 0.00; 13.77; 0.00; 0.00 (states/eV per cell).